Entry 1:
KPt2Pb | PBE | optimized geometry

As for the formation energy: 11.0 kJ/mol of atoms. Its magnetic moment is 0.00 Bohr magnetons per cell. The calculation puts the calculated volume at 94.6 Å³/f.u. The total DFT energy (no corrections) comes out at -4.11 eV/atom.

The space group is P4/mmm (No. 123) and the conventional cell measures 3.432, 3.432 and 8.030 Å, with angles of 90.00, 90.00 and 90.00 degrees. The distinct sites, in fractional coordinates, are K at (0.000, 0.000, 0.000), Pt at (0.500, 0.500, 0.308) and Pb at (0.000, 0.000, 0.500).



Entry 2:
KPtPb2 | PBE | optimized geometry

As for the formation energy: -24.0 kJ/mol of atoms. Its magnetic moment is 0.00 Bohr magnetons per cell. The calculation puts the calculated volume at 126.3 Å³/f.u. The total DFT energy (no corrections) comes out at -3.89 eV/atom.

The space group is C2/m (No. 12) and the conventional cell measures 7.929, 4.572 and 7.444 Å, with angles of 90.00, 110.66 and 90.00 degrees. The distinct sites, in fractional coordinates, are K at (0.000, 0.000, 0.000), Pt at (0.000, 0.500, 0.500) and Pb at (0.217, 0.000, 0.653).



Entry 3:
KPt2Pb2 | PBE | optimized geometry

As for the formation energy: -20.5 kJ/mol of atoms. Its relative energy among the computed polymorphs is 54 meV per atom. Its magnetic moment is 0.00 Bohr magnetons per cell. The calculation puts the calculated volume at 133.1 Å³/f.u. The total DFT energy (no corrections) comes out at -4.33 eV/atom.

The space group is I4/mmm (No. 139) and the conventional cell measures 4.925, 4.925 and 10.975 Å, with angles of 90.00, 90.00 and 90.00 degrees. The distinct sites, in fractional coordinates, are K at (0.000, 0.000, 0.000), Pt at (0.000, 0.000, 0.380) and Pb at (0.000, 0.500, 0.250).



Entry 4:
KPtPb2 | PBE | optimized geometry

As for the formation energy: -18.8 kJ/mol of atoms. Its magnetic moment is 0.00 Bohr magnetons per cell. The calculation puts the calculated volume at 110.9 Å³/f.u. The total DFT energy (no corrections) comes out at -3.83 eV/atom.

The space group is P2/m (No. 10) and the conventional cell measures 3.588, 3.548 and 8.709 Å, with angles of 90.00, 90.28 and 90.00 degrees. The distinct sites, in fractional coordinates, are K at (0.000, 0.000, 0.000), Pt at (0.000, 0.000, 0.500) and Pb at (0.499, 0.500, 0.685).



Entry 5:
KPtPb4 | PBE | optimized geometry

As for the formation energy: -18.3 kJ/mol of atoms. Its relative energy among the computed polymorphs is 0 meV per atom. Its magnetic moment is 0.00 Bohr magnetons per cell. The calculation puts the calculated volume at 208.2 Å³/f.u. The total DFT energy (no corrections) comes out at -3.85 eV/atom.

The space group is P-1 (No. 2) and the conventional cell measures 5.820, 8.557 and 9.824 Å, with angles of 115.77, 107.02 and 90.22 degrees. The distinct sites, in fractional coordinates, are K at (0.198, 0.198, 0.396), Pt at (0.254, 0.500, 0.000), Pb at (0.002, 0.794, 0.000), Pb at (0.148, 0.648, 0.298), Pb at (0.398, 0.176, 0.796) and Pb at (0.400, 0.622, 0.797).



Entry 6:
KPtPb3 | PBE | optimized geometry

As for the formation energy: -21.2 kJ/mol of atoms. Its relative energy among the computed polymorphs is 0 meV per atom. Its magnetic moment is 0.00 Bohr magnetons per cell. The calculation puts the calculated volume at 154.5 Å³/f.u. The total DFT energy (no corrections) comes out at -3.87 eV/atom.

The space group is Cm (No. 8) and the conventional cell measures 7.245, 7.241 and 6.912 Å, with angles of 90.00, 121.54 and 90.00 degrees. The distinct sites, in fractional coordinates, are K at (0.000, 0.000, 0.000), Pt at (0.361, 0.000, 0.718), Pb at (0.009, 0.249, 0.516) and Pb at (0.087, 0.500, 0.176).